Model i:
VASP calculation (PBE-GGA) on a geometry-optimized LiVCl3 structure.

Unit cell a=6.408 b=6.408 c=6.534 alpha=101.56 beta=101.56 gamma=119.41
Sites, in units of the cell vectors:
1 Li 0.145 0.145 0.342
2 Li 0.855 0.855 0.658
3 V 0.331 0.669 0.000
4 V 0.669 0.331 0.000
5 Cl 0.093 0.448 0.227
6 Cl 0.261 0.261 0.757
7 Cl 0.448 0.093 0.227
8 Cl 0.552 0.907 0.773
9 Cl 0.739 0.739 0.243
10 Cl 0.907 0.552 0.773

***

Model ii:
VASP calculation (PBE-GGA) on a geometry-optimized LiVCl3 structure.

Unit cell a=4.618 b=4.618 c=4.618 alpha=90.00 beta=90.00 gamma=90.00
Sites, in units of the cell vectors:
1 Li 0.000 0.000 0.000
2 V 0.500 0.500 0.500
3 Cl 0.000 0.000 0.500
4 Cl 0.000 0.500 0.000
5 Cl 0.500 0.000 0.000

Properties
D(E_F): 1.189 states/eV/atom

***

Most stable to least stable, the ends of the list are model i and model ii.

***

Model i:
VASP calculation (PBE-GGA) on a geometry-optimized LiWCl2 structure.

Unit cell a=3.082 b=3.082 c=7.569 alpha=90.00 beta=90.00 gamma=90.00
Sites, in units of the cell vectors:
1 Li 0.000 0.000 0.000
2 W 0.500 0.500 0.255
3 Cl 0.000 0.000 0.445
4 Cl 0.500 0.500 0.914

Properties
D(E_F): 0.680 states/eV/atom

***

Model ii:
VASP calculation (PBE-GGA) on a geometry-optimized LiWCl2 structure.

Unit cell a=3.005 b=5.753 c=7.655 alpha=90.00 beta=90.00 gamma=90.00
Sites, in units of the cell vectors:
1 Li 0.000 0.000 0.000
2 Li 0.500 0.500 0.000
3 W 0.000 0.000 0.500
4 W 0.500 0.500 0.500
5 Cl 0.000 0.500 0.235
6 Cl 0.000 0.500 0.765
7 Cl 0.500 0.000 0.235
8 Cl 0.500 0.000 0.765

Properties
D(E_F): 0.673 states/eV/atom

***

Most stable to least stable, the ends of the list are model i and model ii.

***

Model i:
VASP calculation (PBE-GGA) on a geometry-optimized LiWCl2 structure.

Unit cell a=6.859 b=6.859 c=6.859 alpha=90.00 beta=90.00 gamma=90.00
Sites, in units of the cell vectors:
1 Li 0.000 0.000 0.000
2 Li 0.000 0.500 0.500
3 Li 0.500 0.000 0.500
4 Li 0.500 0.500 0.000
5 W 0.250 0.250 0.250
6 W 0.250 0.750 0.750
7 W 0.750 0.250 0.750
8 W 0.750 0.750 0.250
9 Cl 0.000 0.000 0.500
10 Cl 0.000 0.500 0.000
11 Cl 0.250 0.250 0.750
12 Cl 0.250 0.750 0.250
13 Cl 0.500 0.000 0.000
14 Cl 0.500 0.500 0.500
15 Cl 0.750 0.250 0.250
16 Cl 0.750 0.750 0.750

Properties
D(E_F): 0.822 states/eV/atom

***

Model ii:
VASP calculation (PBE-GGA) on a geometry-optimized LiWCl2 structure.

Unit cell a=2.968 b=3.992 c=5.974 alpha=90.00 beta=100.31 gamma=90.00
Sites, in units of the cell vectors:
1 Li 0.000 0.000 0.000
2 W 0.500 0.000 0.500
3 Cl 0.399 0.500 0.255
4 Cl 0.601 0.500 0.745

Properties
D(E_F): 0.659 states/eV/atom

***

Model iii:
VASP calculation (PBE-GGA) on a geometry-optimized LiWCl2 structure.

Unit cell a=3.076 b=3.076 c=22.610 alpha=90.00 beta=90.00 gamma=120.00
Sites, in units of the cell vectors:
1 Li 0.000 0.000 0.000
2 Li 0.333 0.667 0.667
3 Li 0.667 0.333 0.333
4 W 0.000 0.000 0.500
5 W 0.333 0.667 0.167
6 W 0.667 0.333 0.833
7 Cl 0.000 0.000 0.258
8 Cl 0.000 0.000 0.742
9 Cl 0.333 0.667 0.409
10 Cl 0.333 0.667 0.925
11 Cl 0.667 0.333 0.075
12 Cl 0.667 0.333 0.591

Properties
D(E_F): 0.859 states/eV/atom

***

Model iv:
VASP calculation (PBE-GGA) on a geometry-optimized LiWCl2 structure.

Unit cell a=6.478 b=6.497 c=2.940 alpha=90.00 beta=90.00 gamma=90.00
Sites, in units of the cell vectors:
1 Li 0.000 0.000 0.000
2 Li 0.500 0.500 0.000
3 W 0.000 0.500 0.000
4 W 0.500 0.000 0.000
5 Cl 0.250 0.250 0.500
6 Cl 0.250 0.750 0.500
7 Cl 0.750 0.250 0.500
8 Cl 0.750 0.750 0.500

Properties
D(E_F): 1.002 states/eV/atom

***

Most stable to least stable, the ends of the list are model ii and model i.

***

Model i:
VASP calculation (PBE-GGA) on a geometry-optimized LiWCl2 structure.

Unit cell a=6.329 b=7.560 c=2.988 alpha=90.00 beta=90.00 gamma=90.00
Sites, in units of the cell vectors:
1 Li 0.000 0.000 0.000
2 Li 0.500 0.500 0.000
3 W 0.000 0.500 0.000
4 W 0.500 0.000 0.000
5 Cl 0.250 0.250 0.000
6 Cl 0.250 0.750 0.000
7 Cl 0.750 0.250 0.000
8 Cl 0.750 0.750 0.000

Properties
D(E_F): 0.711 states/eV/atom

***

Model ii:
VASP calculation (PBE-GGA) on a geometry-optimized LiWCl2 structure.

Unit cell a=5.802 b=5.802 c=9.133 alpha=90.00 beta=90.00 gamma=90.00
Sites, in units of the cell vectors:
1 Li 0.000 0.000 0.000
2 Li 0.000 0.500 0.250
3 Li 0.500 0.000 0.750
4 Li 0.500 0.500 0.500
5 W 0.000 0.000 0.500
6 W 0.000 0.500 0.750
7 W 0.500 0.000 0.250
8 W 0.500 0.500 0.000
9 Cl 0.232 0.250 0.125
10 Cl 0.250 0.732 0.375
11 Cl 0.250 0.768 0.875
12 Cl 0.268 0.250 0.625
13 Cl 0.732 0.750 0.625
14 Cl 0.750 0.232 0.875
15 Cl 0.750 0.268 0.375
16 Cl 0.768 0.750 0.125

Properties
D(E_F): 0.450 states/eV/atom

***

Model iii:
VASP calculation (PBE-GGA) on a geometry-optimized LiWCl2 structure.

Unit cell a=7.763 b=3.055 c=5.569 alpha=90.00 beta=97.73 gamma=90.00
Sites, in units of the cell vectors:
1 Li 0.000 0.000 0.000
2 Li 0.500 0.500 0.000
3 W 0.000 0.500 0.500
4 W 0.500 0.000 0.500
5 Cl 0.227 0.000 0.722
6 Cl 0.273 0.500 0.278
7 Cl 0.727 0.500 0.722
8 Cl 0.773 0.000 0.278

Properties
D(E_F): 0.364 states/eV/atom

***

Model iv:
VASP calculation (PBE-GGA) on a geometry-optimized LiWCl2 structure.

Unit cell a=2.933 b=4.057 c=11.894 alpha=90.00 beta=90.00 gamma=90.00
Sites, in units of the cell vectors:
1 Li 0.000 0.000 0.000
2 Li 0.500 0.500 0.500
3 W 0.000 0.500 0.271
4 W 0.500 0.000 0.771
5 Cl 0.000 0.000 0.583
6 Cl 0.000 0.500 0.811
7 Cl 0.500 0.000 0.311
8 Cl 0.500 0.500 0.083

Properties
D(E_F): 0.625 states/eV/atom

***

Most stable to least stable, the ends of the list are model iii and model ii.

***

Model i:
VASP calculation (PBE-GGA) on a geometry-optimized LiWCl2 structure.

Unit cell a=3.096 b=3.096 c=23.657 alpha=90.00 beta=90.00 gamma=120.00
Sites, in units of the cell vectors:
1 Li 0.000 0.000 0.000
2 Li 0.333 0.667 0.667
3 Li 0.667 0.333 0.333
4 W 0.000 0.000 0.500
5 W 0.333 0.667 0.167
6 W 0.667 0.333 0.833
7 Cl 0.000 0.000 0.400
8 Cl 0.000 0.000 0.600
9 Cl 0.333 0.667 0.066
10 Cl 0.333 0.667 0.267
11 Cl 0.667 0.333 0.733
12 Cl 0.667 0.333 0.934

Properties
D(E_F): 0.390 states/eV/atom

***

Model ii:
VASP calculation (PBE-GGA) on a geometry-optimized LiWCl2 structure.

Unit cell a=2.987 b=4.926 c=13.460 alpha=90.00 beta=90.00 gamma=90.00
Sites, in units of the cell vectors:
1 Li 0.000 0.000 0.000
2 Li 0.500 0.500 0.500
3 W 0.000 0.000 0.500
4 W 0.500 0.500 0.000
5 Cl 0.000 0.500 0.140
6 Cl 0.000 0.500 0.860
7 Cl 0.500 0.000 0.360
8 Cl 0.500 0.000 0.640

Properties
D(E_F): 0.524 states/eV/atom

***

Model iii:
VASP calculation (PBE-GGA) on a geometry-optimized LiWCl2 structure.

Unit cell a=3.053 b=4.885 c=4.685 alpha=90.00 beta=108.98 gamma=90.00
Sites, in units of the cell vectors:
1 Li 0.000 0.000 0.000
2 W 0.358 0.500 0.714
3 Cl 0.295 0.000 0.586
4 Cl 0.640 0.500 0.273

Properties
D(E_F): 0.379 states/eV/atom

***

Model iv:
VASP calculation (PBE-GGA) on a geometry-optimized LiWCl2 structure.

Unit cell a=3.547 b=3.547 c=14.244 alpha=90.00 beta=90.00 gamma=90.00
Sites, in units of the cell vectors:
1 Li 0.000 0.000 0.000
2 Li 0.500 0.500 0.500
3 W 0.000 0.500 0.750
4 W 0.500 0.000 0.250
5 Cl 0.000 0.000 0.500
6 Cl 0.000 0.500 0.250
7 Cl 0.500 0.000 0.750
8 Cl 0.500 0.500 0.000

Properties
D(E_F): 0.426 states/eV/atom

***

Most stable to least stable, the ends of the list are model i and model iv.

***

Model i:
VASP calculation (PBE-GGA) on a geometry-optimized Li2WCl structure.

Unit cell a=3.606 b=3.606 c=9.518 alpha=90.00 beta=90.00 gamma=90.00
Sites, in units of the cell vectors:
1 Li 0.000 0.000 0.000
2 Li 0.000 0.500 0.250
3 Li 0.500 0.000 0.750
4 Li 0.500 0.500 0.500
5 W 0.000 0.500 0.750
6 W 0.500 0.000 0.250
7 Cl 0.000 0.000 0.500
8 Cl 0.500 0.500 0.000

Properties
D(E_F): 0.859 states/eV/atom

***

Model ii:
VASP calculation (PBE-GGA) on a geometry-optimized Li2WCl structure.

Unit cell a=2.830 b=2.854 c=16.904 alpha=90.00 beta=90.00 gamma=90.00
Sites, in units of the cell vectors:
1 Li 0.000 0.000 0.000
2 Li 0.000 0.500 0.166
3 Li 0.500 0.000 0.666
4 Li 0.500 0.500 0.500
5 W 0.000 0.000 0.376
6 W 0.500 0.500 0.876
7 Cl 0.000 0.500 0.743
8 Cl 0.500 0.000 0.243

Properties
D(E_F): 0.501 states/eV/atom

***

Most stable to least stable, the ends of the list are model ii and model i.

***

Model i:
VASP calculation (PBE-GGA) on a geometry-optimized Li2WCl structure.

Unit cell a=4.837 b=4.837 c=2.788 alpha=90.00 beta=90.00 gamma=90.00
Sites, in units of the cell vectors:
1 Li 0.000 0.500 0.000
2 Li 0.500 0.000 0.000
3 W 0.000 0.000 0.500
4 Cl 0.500 0.500 0.500

Properties
D(E_F): 0.752 states/eV/atom

***

Model ii:
VASP calculation (PBE-GGA) on a geometry-optimized Li2WCl structure.

Unit cell a=2.862 b=4.586 c=4.605 alpha=90.00 beta=90.00 gamma=90.00
Sites, in units of the cell vectors:
1 Li 0.000 0.000 0.000
2 Li 0.500 0.500 0.000
3 W 0.000 0.500 0.500
4 Cl 0.500 0.000 0.500

Properties
D(E_F): 0.878 states/eV/atom

***

Most stable to least stable, the ends of the list are model ii and model i.

***

Model i:
VASP calculation (PBE-GGA) on a geometry-optimized Li2WCl structure.

Unit cell a=3.013 b=4.975 c=8.962 alpha=90.00 beta=90.00 gamma=90.00
Sites, in units of the cell vectors:
1 Li 0.000 0.000 0.000
2 Li 0.000 0.500 0.291
3 Li 0.500 0.000 0.291
4 Li 0.500 0.500 0.000
5 W 0.000 0.500 0.734
6 W 0.500 0.000 0.734
7 Cl 0.000 0.000 0.494
8 Cl 0.500 0.500 0.494

Properties
D(E_F): 0.567 states/eV/atom

***

Model ii:
VASP calculation (PBE-GGA) on a geometry-optimized Li2WCl structure.

Unit cell a=2.936 b=2.936 c=24.997 alpha=90.00 beta=90.00 gamma=120.00
Sites, in units of the cell vectors:
1 Li 0.000 0.000 0.232
2 Li 0.000 0.000 0.768
3 Li 0.333 0.667 0.435
4 Li 0.333 0.667 0.899
5 Li 0.667 0.333 0.101
6 Li 0.667 0.333 0.565
7 W 0.000 0.000 0.000
8 W 0.333 0.667 0.667
9 W 0.667 0.333 0.333
10 Cl 0.000 0.000 0.500
11 Cl 0.333 0.667 0.167
12 Cl 0.667 0.333 0.833

Properties
D(E_F): 0.496 states/eV/atom

***

Most stable to least stable, the ends of the list are model ii and model i.